[1]
The following is a PBE calculation of TmCdNiHg after structural relaxation, from the Alexandria database.

a b c (Å): 4.8299 4.8299 4.8299
angles (deg): 60.00 60.00 60.00
Sites, in units of the cell vectors:
Ni: 0.2500 0.2500 0.2500
Tm: 0.0000 0.0000 0.0000
Hg: 0.7500 0.7500 0.7500
Cd: 0.5000 0.5000 0.5000

Values from the calculation:
The calculation puts the volume at 19.92 Å³/atom. Its symmetry is No. 216. For the uncorrected energy, the calculation gives -12.3 eV per formula unit. The value obtained for the formation energy is -210 meV/atom.



[2]
The following is a PBE calculation of YCdNiHg after structural relaxation, from the Alexandria database.

a b c (Å): 4.8777 4.8777 4.8777
angles (deg): 60.00 60.00 60.00
Sites, in units of the cell vectors:
Y: 0.2500 0.2500 0.2500
Ni: 0.0000 0.0000 0.0000
Hg: 0.5000 0.5000 0.5000
Cd: 0.7500 0.7500 0.7500

Values from the calculation:
The calculation puts the volume at 20.51 Å³/atom. Its symmetry is No. 216. For the uncorrected energy, the calculation gives -14.3 eV per formula unit. The value obtained for the formation energy is -214 meV/atom.



[3]
The following is a PBE calculation of Zr2CdNiHg after structural relaxation, from the Alexandria database.

a b c (Å): 5.2650 5.0132 5.2650
angles (deg): 90.00 90.00 90.00
Sites, in units of the cell vectors:
Ni: 0.5000 0.5000 0.5000
Hg: 0.0000 0.5000 0.0000
Zr: 0.0000 0.0000 0.5000
Zr: 0.5000 0.0000 0.0000
Cd: 0.0000 0.0000 0.0000

Values from the calculation:
The calculation puts the volume at 27.79 Å³/atom. Its symmetry is No. 123. For the uncorrected energy, the calculation gives -17.2 eV per formula unit. The value obtained for the formation energy is 1386 meV/atom.